# TbPmSbPd | Alexandria | GGA-PBE | optimized geometry
# Energy: -5.46 eV per atom
# Raw formation energy: -3.13 eV/f.u.
# Spin magnetization: 0.84 μB per formula unit
data_TbPmSbPd
_space_group_name_H-M_alt 'F -4 3 m'
_space_group_IT_number 216
_space_group_name_Hall 'F -4 2 3'
_cell_length_a 7.3887
_cell_length_b 7.3887
_cell_length_c 7.3887
_cell_angle_alpha 90.00
_cell_angle_beta 90.00
_cell_angle_gamma 90.00
loop_
_atom_site_label
_atom_site_fract_x
_atom_site_fract_y
_atom_site_fract_z
_atom_site_occupancy
Tb1 0.0000 0.0000 0.0000 1
Pm1 0.0000 0.0000 0.5000 1
Sb1 0.2500 0.2500 0.2500 1
Pd1 0.2500 0.2500 0.7500 1